No. 1
Ge2PbAuCl | GGA-PBE | relaxed Values from VASP.

Quantum ESPRESSO input file:
```
&SYSTEM
  ibrav = 0, nat = 5, ntyp = 4
/
ATOMIC_SPECIES
Ge 72.64 Ge.upf
Pb 207.20 Pb.upf
Cl 35.45 Cl.upf
Au 196.97 Au.upf
ATOMIC_POSITIONS crystal
Ge 0.500 0.000 0.000
Ge 0.000 0.000 0.500
Pb 0.000 0.500 0.000
Cl 0.000 0.000 0.000
Au 0.500 0.500 0.500
CELL_PARAMETERS angstrom
4.956 0.000 0.000
0.000 5.493 0.000
0.000 0.000 4.956
```

Mass density (g cm⁻³): 7.20
Total moment (μB/f.u.): 0.000
Uncorrected formation energy (eV per formula unit): 3.353

=====

No. 2
ReGeAu2Cl | GGA-PBE | relaxed Values from VASP.

Quantum ESPRESSO input file:
```
&SYSTEM
  ibrav = 0, nat = 5, ntyp = 4
/
ATOMIC_SPECIES
Ge 72.64 Ge.upf
Au 196.97 Au.upf
Re 186.21 Re.upf
Cl 35.45 Cl.upf
ATOMIC_POSITIONS crystal
Ge 0.000 0.500 0.000
Au 0.500 0.000 0.000
Au 0.000 0.000 0.500
Re 0.500 0.500 0.500
Cl 0.000 0.000 0.000
CELL_PARAMETERS angstrom
-3.868 -2.850 0.145
2.810 -3.724 1.759
-0.898 1.447 4.495
```

Mass density (g cm⁻³): 9.92
Total moment (μB/f.u.): 3.798
Uncorrected formation energy (eV per formula unit): 8.429

=====

No. 3
GeAuSCl2 | GGA-PBE | relaxed Values from VASP.

Quantum ESPRESSO input file:
```
&SYSTEM
  ibrav = 0, nat = 5, ntyp = 4
/
ATOMIC_SPECIES
Cl 35.45 Cl.upf
Ge 72.64 Ge.upf
Au 196.97 Au.upf
S 32.06 S.upf
ATOMIC_POSITIONS crystal
Cl 0.500 0.000 0.000
Cl 0.000 0.500 0.000
Ge 0.000 0.000 0.000
Au 0.500 0.500 0.500
S 0.000 0.000 0.500
CELL_PARAMETERS angstrom
-1.821 -1.396 -4.255
-2.141 -3.763 2.151
-4.007 2.744 0.814
```

E above lowest polymorph (eV per formula unit): 0.00
Mass density (g cm⁻³): 5.38
Total moment (μB/f.u.): 0.000
Uncorrected formation energy (eV per formula unit): 0.897

=====

No. 4
GeAuS2Cl | GGA-PBE | relaxed Values from VASP.

Quantum ESPRESSO input file:
```
&SYSTEM
  ibrav = 0, nat = 5, ntyp = 4
/
ATOMIC_SPECIES
S 32.06 S.upf
Cl 35.45 Cl.upf
Ge 72.64 Ge.upf
Au 196.97 Au.upf
ATOMIC_POSITIONS crystal
S 0.000 0.500 0.000
S 0.500 0.000 0.000
Cl 0.000 0.000 0.500
Ge 0.000 0.000 0.000
Au 0.500 0.500 0.500
CELL_PARAMETERS angstrom
4.766 0.000 0.000
0.000 4.766 0.000
0.000 0.000 4.772
```

E above lowest polymorph (eV per formula unit): 0.00
Mass density (g cm⁻³): 5.66
Total moment (μB/f.u.): 0.000
Uncorrected formation energy (eV per formula unit): 2.234

=====

No. 5
TaGeAu2Cl | GGA-PBE | relaxed Values from VASP.

Quantum ESPRESSO input file:
```
&SYSTEM
  ibrav = 0, nat = 5, ntyp = 4
/
ATOMIC_SPECIES
Ta 180.95 Ta.upf
Au 196.97 Au.upf
Ge 72.64 Ge.upf
Cl 35.45 Cl.upf
ATOMIC_POSITIONS crystal
Ta 0.500 0.500 0.500
Au 0.500 0.000 0.000
Au 0.000 0.000 0.500
Ge 0.000 0.500 0.000
Cl 0.000 0.000 0.000
CELL_PARAMETERS angstrom
4.752 0.000 0.000
0.000 4.839 0.000
0.000 0.000 4.752
```

Mass density (g cm⁻³): 10.38
Total moment (μB/f.u.): 1.516
Uncorrected formation energy (eV per formula unit): 6.847

=====

No. 6
TaGeAuCl2 | GGA-PBE | relaxed Values from VASP.

Quantum ESPRESSO input file:
```
&SYSTEM
  ibrav = 0, nat = 5, ntyp = 4
/
ATOMIC_SPECIES
Cl 35.45 Cl.upf
Ta 180.95 Ta.upf
Ge 72.64 Ge.upf
Au 196.97 Au.upf
ATOMIC_POSITIONS crystal
Cl 0.000 0.000 0.500
Cl 0.500 0.000 0.000
Ta 0.000 0.000 0.000
Ge 0.000 0.500 0.000
Au 0.500 0.500 0.500
CELL_PARAMETERS angstrom
4.663 0.000 0.000
0.000 5.465 0.000
0.000 0.000 4.663
```

Mass density (g cm⁻³): 7.29
Total moment (μB/f.u.): 0.000
Uncorrected formation energy (eV per formula unit): 0.268

=====

No. 7
TlGeAu2Cl | GGA-PBE | relaxed Values from VASP.

Quantum ESPRESSO input file:
```
&SYSTEM
  ibrav = 0, nat = 5, ntyp = 4
/
ATOMIC_SPECIES
Cl 35.45 Cl.upf
Tl 204.38 Tl.upf
Au 196.97 Au.upf
Ge 72.64 Ge.upf
ATOMIC_POSITIONS crystal
Cl 0.000 0.000 0.000
Tl 0.000 0.500 0.000
Au 0.000 0.000 0.500
Au 0.500 0.000 0.000
Ge 0.500 0.500 0.500
CELL_PARAMETERS angstrom
4.894 0.000 0.000
0.000 5.896 0.000
0.000 0.000 4.894
```

Mass density (g cm⁻³): 8.31
Total moment (μB/f.u.): 0.000
Uncorrected formation energy (eV per formula unit): 3.544

=====

No. 8
VGeAuCl2 | GGA-PBE | relaxed Values from VASP.

Quantum ESPRESSO input file:
```
&SYSTEM
  ibrav = 0, nat = 5, ntyp = 4
/
ATOMIC_SPECIES
Cl 35.45 Cl.upf
V 50.94 V.upf
Ge 72.64 Ge.upf
Au 196.97 Au.upf
ATOMIC_POSITIONS crystal
Cl 0.000 0.000 0.500
Cl 0.500 0.000 0.000
V 0.000 0.500 0.000
Ge 0.000 0.000 0.000
Au 0.500 0.500 0.500
CELL_PARAMETERS angstrom
4.856 0.000 0.000
0.000 5.378 0.000
0.000 0.000 4.856
```

Mass density (g cm⁻³): 5.12
Total moment (μB/f.u.): 3.130
Uncorrected formation energy (eV per formula unit): 2.618

=====

No. 9
HAuCl2 | GGA-PBE | relaxed Values from VASP.

Quantum ESPRESSO input file:
```
&SYSTEM
  ibrav = 0, nat = 4, ntyp = 3
/
ATOMIC_SPECIES
Cl 35.45 Cl.upf
Au 196.97 Au.upf
H 1.01 H.upf
ATOMIC_POSITIONS crystal
Cl 0.910 0.910 0.910
Cl 0.090 0.090 0.090
Au 0.500 0.500 0.500
H 0.000 0.000 0.000
CELL_PARAMETERS angstrom
-3.020 -5.345 1.363
1.185 -5.979 1.548
-0.817 -4.029 4.759
```

E above lowest polymorph (eV per formula unit): 0.00
Mass density (g cm⁻³): 4.92
Total moment (μB/f.u.): 0.000

=====

No. 10
HAuCl3 | GGA-PBE | relaxed Values from VASP.

Quantum ESPRESSO input file:
```
&SYSTEM
  ibrav = 0, nat = 5, ntyp = 3
/
ATOMIC_SPECIES
Au 196.97 Au.upf
H 1.01 H.upf
Cl 35.45 Cl.upf
ATOMIC_POSITIONS crystal
Au 0.000 0.000 0.000
H 0.500 0.500 0.500
Cl 0.000 0.000 0.500
Cl 0.000 0.500 0.000
Cl 0.500 0.000 0.000
CELL_PARAMETERS angstrom
4.967 0.000 0.000
0.000 4.967 0.000
0.000 0.000 4.967
```

E above lowest polymorph (eV per formula unit): 3.08
Mass density (g cm⁻³): 4.12
Total moment (μB/f.u.): 0.849

=====

No. 11
HAu2Cl | GGA-PBE | relaxed Values from VASP.

Quantum ESPRESSO input file:
```
&SYSTEM
  ibrav = 0, nat = 8, ntyp = 3
/
ATOMIC_SPECIES
Au 196.97 Au.upf
Cl 35.45 Cl.upf
H 1.01 H.upf
ATOMIC_POSITIONS crystal
Au 0.258 0.625 0.250
Au 0.492 0.125 0.250
Au 0.375 0.508 0.750
Au 0.875 0.742 0.750
Cl 0.000 0.000 0.000
Cl 0.750 0.250 0.500
H 0.500 0.500 0.000
H 0.250 0.750 0.500
CELL_PARAMETERS angstrom
5.425 0.000 0.000
0.000 5.425 0.000
2.712 2.712 4.641
```

E above lowest polymorph (eV per formula unit): 0.00
Mass density (g cm⁻³): 10.46
Total moment (μB/f.u.): 0.000

=====

No. 12
H5AuCl8 | GGA-PBE | relaxed Values from VASP.

Quantum ESPRESSO input file:
```
&SYSTEM
  ibrav = 0, nat = 14, ntyp = 3
/
ATOMIC_SPECIES
Cl 35.45 Cl.upf
Au 196.97 Au.upf
H 1.01 H.upf
ATOMIC_POSITIONS crystal
Cl 0.256 0.653 0.703
Cl 0.050 0.881 0.609
Cl 0.305 0.519 0.305
Cl 0.557 0.234 0.171
Cl 0.876 0.029 0.258
Cl 0.625 0.474 0.736
Cl 0.850 0.107 0.800
Cl 0.101 0.766 0.217
Au 0.176 0.708 0.462
H 0.417 0.071 0.207
H 0.787 0.620 0.696
H 0.129 0.310 0.288
H 0.976 0.938 0.261
H 0.647 0.942 0.788
CELL_PARAMETERS angstrom
7.345 -0.717 -1.611
-4.739 6.202 -2.473
0.919 0.697 8.382
```

Uncorrected energy (eV/f.u.): -40.730
Mass density (g cm⁻³): 2.11
Total moment (μB/f.u.): 0.127

=====

No. 13
HAuCl4 | GGA-PBE | relaxed Values from VASP.

Quantum ESPRESSO input file:
```
&SYSTEM
  ibrav = 0, nat = 12, ntyp = 3
/
ATOMIC_SPECIES
Cl 35.45 Cl.upf
H 1.01 H.upf
Au 196.97 Au.upf
ATOMIC_POSITIONS crystal
Cl 0.350 0.095 0.087
Cl 0.905 0.650 0.413
Cl 0.885 0.632 0.954
Cl 0.650 0.905 0.913
Cl 0.368 0.115 0.546
Cl 0.632 0.885 0.454
Cl 0.115 0.368 0.046
Cl 0.095 0.350 0.587
H 0.127 0.873 0.250
H 0.873 0.127 0.750
Au 0.628 0.372 0.250
Au 0.372 0.628 0.750
CELL_PARAMETERS angstrom
8.039 3.107 0.291
-8.039 3.107 0.291
0.000 1.237 7.120
```

Uncorrected energy (eV/f.u.): -15.934
Mass density (g cm⁻³): 3.23
Total moment (μB/f.u.): 0.000

=====

No. 14
HAuCl2 | GGA-PBE | relaxed Values from VASP.

Quantum ESPRESSO input file:
```
&SYSTEM
  ibrav = 0, nat = 8, ntyp = 3
/
ATOMIC_SPECIES
Cl 35.45 Cl.upf
H 1.01 H.upf
Au 196.97 Au.upf
ATOMIC_POSITIONS crystal
Cl 0.535 0.125 0.250
Cl 0.375 0.465 0.750
Cl 0.875 0.785 0.750
Cl 0.215 0.625 0.250
H 0.250 0.750 0.500
H 0.500 0.500 0.000
Au 0.750 0.250 0.500
Au 0.000 0.000 0.000
CELL_PARAMETERS angstrom
-3.859 3.504 -1.637
-3.417 -2.007 3.760
-2.059 3.958 4.210
```

E above lowest polymorph (eV per formula unit): 1.17
Mass density (g cm⁻³): 6.28
Total moment (μB/f.u.): 0.000